The following is a PBE with a Hubbard U calculation of a geometry-optimized MnTc3F structure, from Alexandria via LeMat-Bulk.

Its density is 6.8 Mg/m³. The calculation puts the relative energy among the computed polymorphs at 1.076 eV/atom. The value obtained for the density of states at the Fermi level is 5.1 states/eV/cell. The value obtained for the total moment is 0.640 μB/atom.

It has space group Pm-3m (No. 221), with a = 4.486 Å, b = 4.486 Å, c = 4.486 Å, α = 90.00°, β = 90.00° and γ = 90.00°. The inequivalent atoms are Mn at (0.000, 0.000, 0.000), Tc at (0.000, 0.000, 0.500) and F at (0.500, 0.500, 0.500).